Er3Sc2Rh3 | PBE | optimized geometry

Values from the calculation:
As for the density: 8.57 g cm⁻³. Its total DFT energy (no corrections) is -6.83 eV per atom. The calculated formation energy is -780 meV per atom. For the magnetic moment, the calculation gives 0.000 Bohr magnetons per cell. As for the space group: No. 63.

Cell: 4.039 6.359 14.326 Å, 90.00 90.00 108.52°
Atoms (fractional coordinates):
Rh 0.601 0.202 0.048
Rh 0.601 0.202 0.452
Rh 0.399 0.798 0.548
Rh 0.655 0.311 0.750
Rh 0.399 0.798 0.952
Rh 0.345 0.689 0.250
Er 0.332 0.665 0.750
Er 0.668 0.335 0.250
Er 0.950 0.899 0.379
Er 0.050 0.101 0.879
Er 0.050 0.101 0.621
Er 0.950 0.899 0.121
Sc 0.766 0.533 0.919
Sc 0.234 0.467 0.081
Sc 0.234 0.467 0.419
Sc 0.766 0.533 0.581

ErSc2Rh3 | PBE | optimized geometry

Values from the calculation:
As for the density: 8.82 g cm⁻³. Its total DFT energy (no corrections) is -7.52 eV per atom. The calculated formation energy is -978 meV per atom. For the magnetic moment, the calculation gives 0.000 Bohr magnetons per cell. As for the space group: No. 164.

Cell: 4.646 4.646 5.702 Å, 90.00 90.00 120.00°
Atoms (fractional coordinates):
Sc 0.333 0.667 0.661
Sc 0.667 0.333 0.339
Rh 0.667 0.333 0.824
Rh 0.333 0.667 0.176
Rh 0.000 0.000 0.500
Er 0.000 0.000 0.000

Er2ScRh4 | PBE | optimized geometry

Values from the calculation:
As for the density: 9.68 g cm⁻³. Its total DFT energy (no corrections) is -7.04 eV per atom. The calculated formation energy is -633 meV per atom. For the magnetic moment, the calculation gives 0.000 Bohr magnetons per cell. As for the space group: No. 166.

Cell: 4.586 4.586 7.908 Å, 73.14 73.14 60.00°
Atoms (fractional coordinates):
Er 0.758 0.758 0.725
Er 0.242 0.242 0.275
Rh 0.880 0.880 0.359
Rh 0.120 0.120 0.641
Rh 0.627 0.627 0.118
Rh 0.373 0.373 0.882
Sc 0.000 0.000 0.000

ErSc2Rh | PBE | optimized geometry

Values from the calculation:
As for the density: 6.74 g cm⁻³. Its total DFT energy (no corrections) is -6.59 eV per atom. The calculated formation energy is -450 meV per atom. The relative energy among the computed polymorphs comes out at 0.088 eV per atom. For the magnetic moment, the calculation gives 0.000 Bohr magnetons per cell. As for the space group: No. 123.

Cell: 3.310 3.310 8.101 Å, 90.00 90.00 90.00°
Atoms (fractional coordinates):
Rh 0.500 0.500 0.000
Er 0.500 0.500 0.500
Sc 0.000 0.000 0.811
Sc 0.000 0.000 0.189

Er3Sc4Rh4 | PBE | optimized geometry

Values from the calculation:
As for the density: 7.78 g cm⁻³. Its total DFT energy (no corrections) is -6.94 eV per atom. The calculated formation energy is -721 meV per atom. For the magnetic moment, the calculation gives 0.000 Bohr magnetons per cell. As for the space group: No. 71.

Cell: 3.712 8.450 8.754 Å, 118.86 102.24 90.00°
Atoms (fractional coordinates):
Er 0.892 0.892 0.784
Er 0.000 0.500 0.000
Er 0.108 0.108 0.216
Rh 0.500 0.207 0.000
Rh 0.238 0.738 0.477
Rh 0.762 0.262 0.523
Rh 0.500 0.793 0.000
Sc 0.333 0.522 0.666
Sc 0.667 0.478 0.334
Sc 0.333 0.145 0.666
Sc 0.667 0.855 0.334

Er4ScRh2 | PBE | optimized geometry

Values from the calculation:
As for the density: 8.97 g cm⁻³. Its total DFT energy (no corrections) is -6.09 eV per atom. The calculated formation energy is -479 meV per atom. For the magnetic moment, the calculation gives 0.003 Bohr magnetons per cell. As for the space group: No. 11.

Cell: 6.244 7.607 7.766 Å, 112.65 90.00 90.00°
Atoms (fractional coordinates):
Er 0.750 0.021 0.383
Er 0.497 0.588 0.234
Er 0.503 0.412 0.766
Er 0.997 0.412 0.766
Er 0.250 0.234 0.328
Er 0.750 0.766 0.672
Er 0.250 0.979 0.617
Er 0.003 0.588 0.234
Rh 0.250 0.243 0.985
Rh 0.750 0.757 0.015
Rh 0.250 0.619 0.589
Rh 0.750 0.381 0.411
Sc 0.250 0.838 0.962
Sc 0.750 0.162 0.038

Er2ScRh | PBE | optimized geometry

Values from the calculation:
As for the density: 7.49 g cm⁻³. Its total DFT energy (no corrections) is -6.10 eV per atom. The calculated formation energy is -396 meV per atom. The relative energy among the computed polymorphs comes out at 0.038 eV per atom. For the magnetic moment, the calculation gives 0.000 Bohr magnetons per cell. As for the space group: No. 52.

Cell: 6.089 6.434 10.921 Å, 89.98 90.00 90.00°
Atoms (fractional coordinates):
Er 0.755 0.907 0.911
Er 0.255 0.593 0.589
Er 0.254 0.093 0.411
Er 0.245 0.093 0.089
Er 0.745 0.407 0.411
Er 0.746 0.907 0.589
Er 0.754 0.407 0.089
Er 0.246 0.593 0.911
Rh 0.000 0.750 0.406
Rh 0.500 0.750 0.094
Rh 0.000 0.250 0.594
Rh 0.500 0.250 0.906
Sc 0.250 0.065 0.750
Sc 0.250 0.564 0.250
Sc 0.750 0.935 0.250
Sc 0.750 0.436 0.750

Er5ScRh6 | PBE | optimized geometry

Values from the calculation:
As for the density: 10.85 g cm⁻³. Its total DFT energy (no corrections) is -7.05 eV per atom. The calculated formation energy is -942 meV per atom. For the magnetic moment, the calculation gives 0.000 Bohr magnetons per cell. As for the space group: No. 10.

Cell: 4.745 6.778 7.516 Å, 90.00 71.53 90.00°
Atoms (fractional coordinates):
Rh 0.164 0.754 0.672
Rh 0.836 0.246 0.328
Rh 0.500 0.243 0.000
Rh 0.836 0.754 0.328
Rh 0.164 0.246 0.672
Rh 0.500 0.757 0.000
Er 0.000 0.500 0.000
Er 0.333 0.500 0.333
Er 0.665 0.000 0.670
Er 0.335 0.000 0.330
Er 0.667 0.500 0.667
Sc 0.000 0.000 0.000

ErSc4Rh | PBE | optimized geometry

Values from the calculation:
As for the density: 4.84 g cm⁻³. Its total DFT energy (no corrections) is -6.37 eV per atom. The calculated formation energy is -164 meV per atom. For the magnetic moment, the calculation gives 0.000 Bohr magnetons per cell. As for the space group: No. 63.

Cell: 5.210 6.949 8.913 Å, 90.00 106.99 90.00°
Atoms (fractional coordinates):
Sc 0.880 0.281 0.759
Sc 0.294 0.022 0.588
Sc 0.294 0.539 0.588
Sc 0.500 0.530 0.000
Sc 0.500 0.030 0.000
Sc 0.120 0.781 0.241
Sc 0.706 0.522 0.412
Sc 0.706 0.039 0.412
Er 0.887 0.780 0.774
Er 0.113 0.280 0.226
Rh 0.397 0.281 0.793
Rh 0.603 0.781 0.207

ErScRh | PBE | optimized geometry

Values from the calculation:
As for the density: 8.06 g cm⁻³. Its total DFT energy (no corrections) is -6.78 eV per atom. The calculated formation energy is -702 meV per atom. The relative energy among the computed polymorphs comes out at 0.000 eV per atom. For the magnetic moment, the calculation gives 0.000 Bohr magnetons per cell. As for the space group: No. 38.

Cell: 7.080 8.962 8.384 Å, 122.31 114.98 90.00°
Atoms (fractional coordinates):
Sc 0.010 0.000 0.000
Sc 0.010 0.500 0.000
Sc 0.497 0.872 0.744
Sc 0.753 0.128 0.256
Sc 0.753 0.628 0.256
Sc 0.497 0.372 0.744
Rh 0.086 0.833 0.667
Rh 0.420 0.667 0.333
Rh 0.753 0.250 0.000
Rh 0.754 0.750 0.000
Rh 0.420 0.167 0.333
Rh 0.086 0.333 0.667
Er 0.342 0.750 0.000
Er 0.165 0.956 0.411
Er 0.753 0.044 0.589
Er 0.342 0.250 0.000
Er 0.165 0.455 0.411
Er 0.754 0.545 0.589

ErSc2Rh | PBE | optimized geometry

Values from the calculation:
As for the density: 6.18 g cm⁻³. Its total DFT energy (no corrections) is -6.50 eV per atom. The calculated formation energy is -351 meV per atom. The relative energy among the computed polymorphs comes out at 0.187 eV per atom. For the magnetic moment, the calculation gives 0.000 Bohr magnetons per cell. As for the space group: No. 160.

Cell: 4.434 4.434 6.236 Å, 69.18 69.18 60.00°
Atoms (fractional coordinates):
Rh 0.672 0.672 0.985
Er 0.497 0.497 0.510
Sc 0.049 0.049 0.853
Sc 0.283 0.283 0.152

Er4ScRh5 | PBE | optimized geometry

Values from the calculation:
As for the density: 10.74 g cm⁻³. Its total DFT energy (no corrections) is -7.07 eV per atom. The calculated formation energy is -939 meV per atom. For the magnetic moment, the calculation gives 0.000 Bohr magnetons per cell. As for the space group: No. 123.

Cell: 3.319 3.319 17.242 Å, 90.00 90.00 90.00°
Atoms (fractional coordinates):
Sc 0.000 0.000 0.000
Er 0.000 0.000 0.398
Er 0.000 0.000 0.195
Er 0.000 0.000 0.805
Er 0.000 0.000 0.602
Rh 0.500 0.500 0.296
Rh 0.500 0.500 0.500
Rh 0.500 0.500 0.092
Rh 0.500 0.500 0.908
Rh 0.500 0.500 0.704

ErSc2Rh4 | PBE | optimized geometry

Values from the calculation:
As for the density: 8.55 g cm⁻³. Its total DFT energy (no corrections) is -7.21 eV per atom. The calculated formation energy is -547 meV per atom. For the magnetic moment, the calculation gives 0.000 Bohr magnetons per cell. As for the space group: No. 139.

Cell: 5.528 5.528 5.528 Å, 111.23 108.60 108.60°
Atoms (fractional coordinates):
Rh 0.500 0.500 0.500
Rh 0.000 0.500 0.000
Rh 0.000 0.000 0.500
Rh 0.500 0.000 0.000
Sc 0.500 0.000 0.500
Sc 0.500 0.500 0.000
Er 0.000 0.000 0.000

Er2ScRh | PBE | optimized geometry

Values from the calculation:
As for the density: 8.30 g cm⁻³. Its total DFT energy (no corrections) is -6.11 eV per atom. The calculated formation energy is -412 meV per atom. The relative energy among the computed polymorphs comes out at 0.022 eV per atom. For the magnetic moment, the calculation gives 0.955 Bohr magnetons per cell. As for the space group: No. 123.

Cell: 3.458 3.458 8.065 Å, 90.00 90.00 90.00°
Atoms (fractional coordinates):
Rh 0.500 0.500 0.000
Sc 0.500 0.500 0.500
Er 0.000 0.000 0.200
Er 0.000 0.000 0.800

ErSc2Rh | PBE | optimized geometry

Values from the calculation:
As for the density: 6.57 g cm⁻³. Its total DFT energy (no corrections) is -6.66 eV per atom. The calculated formation energy is -520 meV per atom. The relative energy among the computed polymorphs comes out at 0.018 eV per atom. For the magnetic moment, the calculation gives 0.000 Bohr magnetons per cell. As for the space group: No. 63.

Cell: 3.668 5.982 8.716 Å, 90.00 90.00 107.86°
Atoms (fractional coordinates):
Er 0.567 0.134 0.750
Er 0.433 0.866 0.250
Sc 0.140 0.281 0.436
Sc 0.140 0.281 0.064
Sc 0.860 0.719 0.564
Sc 0.860 0.719 0.936
Rh 0.742 0.485 0.250
Rh 0.258 0.515 0.750

ErScRh2 | PBE | optimized geometry

Values from the calculation:
As for the density: 9.55 g cm⁻³. Its total DFT energy (no corrections) is -7.36 eV per atom. The calculated formation energy is -960 meV per atom. For the magnetic moment, the calculation gives 0.000 Bohr magnetons per cell. As for the space group: No. 123.

Cell: 3.255 3.255 6.858 Å, 90.00 90.00 90.00°
Atoms (fractional coordinates):
Rh 0.000 0.000 0.765
Rh 0.000 0.000 0.235
Er 0.500 0.500 0.500
Sc 0.500 0.500 0.000

Er2ScRh | PBE | optimized geometry

Values from the calculation:
As for the density: 8.41 g cm⁻³. Its total DFT energy (no corrections) is -6.14 eV per atom. The calculated formation energy is -434 meV per atom. The relative energy among the computed polymorphs comes out at 0.000 eV per atom. For the magnetic moment, the calculation gives 0.001 Bohr magnetons per cell. As for the space group: No. 99.

Cell: 4.794 3.391 8.283 Å, 90.00 90.00 45.02°
Atoms (fractional coordinates):
Er 0.378 0.999 0.219
Er 0.878 0.999 0.541
Sc 0.378 0.999 0.838
Rh 0.878 0.999 0.013

Er2ScRh | PBE | optimized geometry

Values from the calculation:
As for the density: 7.73 g cm⁻³. Its total DFT energy (no corrections) is -5.81 eV per atom. The calculated formation energy is -107 meV per atom. The relative energy among the computed polymorphs comes out at 0.327 eV per atom. For the magnetic moment, the calculation gives 0.389 Bohr magnetons per cell. As for the space group: No. 166.

Cell: 3.418 3.418 10.429 Å, 80.57 80.57 60.00°
Atoms (fractional coordinates):
Sc 0.000 0.000 0.000
Er 0.104 0.104 0.688
Er 0.896 0.896 0.312
Rh 0.500 0.500 0.500

ErSc2Rh | PBE | optimized geometry

Values from the calculation:
As for the density: 6.53 g cm⁻³. Its total DFT energy (no corrections) is -6.68 eV per atom. The calculated formation energy is -538 meV per atom. The relative energy among the computed polymorphs comes out at 0.000 eV per atom. For the magnetic moment, the calculation gives 0.000 Bohr magnetons per cell. As for the space group: No. 62.

Cell: 5.985 6.922 8.844 Å, 90.00 90.00 90.00°
Atoms (fractional coordinates):
Sc 0.335 0.176 0.061
Sc 0.665 0.824 0.561
Sc 0.835 0.324 0.561
Sc 0.165 0.676 0.439
Sc 0.335 0.176 0.439
Sc 0.665 0.824 0.939
Sc 0.165 0.676 0.061
Sc 0.835 0.324 0.939
Er 0.126 0.970 0.750
Er 0.374 0.470 0.750
Er 0.874 0.030 0.250
Er 0.626 0.530 0.250
Rh 0.572 0.114 0.750
Rh 0.072 0.386 0.250
Rh 0.928 0.614 0.750
Rh 0.428 0.886 0.250

ErScRh | PBE | optimized geometry

Values from the calculation:
As for the density: 8.21 g cm⁻³. Its total DFT energy (no corrections) is -6.53 eV per atom. The calculated formation energy is -448 meV per atom. The relative energy among the computed polymorphs comes out at 0.254 eV per atom. For the magnetic moment, the calculation gives 0.000 Bohr magnetons per cell. As for the space group: No. 156.

Cell: 3.562 4.546 4.546 Å, 120.00 90.00 90.00°
Atoms (fractional coordinates):
Rh 0.028 0.000 0.000
Sc 0.258 0.333 0.667
Er 0.715 0.667 0.333